Record 1
A plane-wave DFT calculation with PBE-GGA was carried out for CaScPaO6 after structural relaxation.

Space group: No. 149
Energy relative to the elements, uncorrected in eV per atom: -2.8103

Cell: 4.708 5.663 5.663 Å, 120.00 90.00 90.00°
Last column: magnetic moment on the atom in μB.
Fractional positions:
O: 0.261 0.031 0.699  0.29
Sc: 0.500 0.000 0.000  -0.04
O: 0.261 0.668 0.969  0.29
O: 0.261 0.301 0.332  0.29
O: 0.739 0.031 0.332  0.29
Ca: 0.500 0.667 0.333  0.00
O: 0.739 0.668 0.699  0.29
O: 0.739 0.301 0.969  0.29
Pa: 0.000 0.333 0.667  -0.06

***

Record 2
A plane-wave DFT calculation with PBE-GGA was carried out for PaCuNi4H6 after structural relaxation.

Space group: No. 191
VASP energy in eV per atom: -4.91

Cell: 4.293 4.293 6.325 Å, 90.00 90.00 120.00°
Fractional positions:
Ni: 0.333 0.667 0.815
Ni: 0.333 0.667 0.185
Pa: 0.000 0.000 0.500
Ni: 0.667 0.333 0.815
Ni: 0.667 0.333 0.185
H: 0.000 0.500 0.352
H: 0.500 0.500 0.648
H: 0.000 0.500 0.648
H: 0.500 0.000 0.352
H: 0.500 0.000 0.648
H: 0.500 0.500 0.352
Cu: 0.000 0.000 0.000

***

Record 3
A plane-wave DFT calculation with PBE-GGA was carried out for Zr4Rh2O after structural relaxation.

Space group: No. 139
Energy relative to the elements, uncorrected in eV per atom: -1.1066

Cell: 4.345 4.345 7.522 Å, 106.79 106.79 90.00°
Fractional positions:
O: 0.000 0.000 0.000
Zr: 0.815 0.815 0.630
Rh: 0.635 0.635 0.270
Zr: 0.500 0.000 0.000
Zr: 0.000 0.500 0.000
Zr: 0.185 0.185 0.370
Rh: 0.365 0.365 0.730

***

Record 4
A plane-wave DFT calculation with PBE-GGA was carried out for Na2TaNb2S6 after structural relaxation.

Space group: No. 12
Energy relative to the elements, uncorrected in eV per atom: -1.1227

Cell: 6.026 6.026 7.364 Å, 96.92 96.92 120.95°
Fractional positions:
S: 0.943 0.604 0.295
Na: 0.825 0.175 0.000
S: 0.604 0.943 0.295
Nb: 0.362 0.638 0.500
S: 0.747 0.747 0.733
Na: 0.175 0.825 0.000
Nb: 0.638 0.362 0.500
S: 0.253 0.253 0.267
S: 0.396 0.057 0.705
Ta: 0.000 0.000 0.500
S: 0.057 0.396 0.705

***

Record 5
A plane-wave DFT calculation with PBE-GGA was carried out for Cd2NiHgPb after structural relaxation.

Space group: No. 123
Energy of formation in eV per atom: 0.109

Cell: 4.989 4.989 4.871 Å, 90.00 90.00 90.00°
Fractional positions:
Pb: 0.000 0.000 0.500
Ni: 0.000 0.000 0.000
Hg: 0.500 0.500 0.500
Cd: 0.000 0.500 0.000
Cd: 0.500 0.000 0.000

***

Record 6
A plane-wave DFT calculation with PBE-GGA was carried out for ZrNi5P3 after structural relaxation.

Space group: No. 63
Energy of formation in eV per atom: -0.650

Cell: 3.532 6.171 11.002 Å, 90.00 90.00 106.63°
Fractional positions:
Ni: 0.441 0.883 0.358
P: 0.617 0.234 0.444
Ni: 0.797 0.595 0.071
P: 0.882 0.765 0.250
Ni: 0.203 0.405 0.929
Zr: 0.132 0.264 0.250
Ni: 0.797 0.595 0.429
Ni: 0.559 0.117 0.858
Ni: 0.203 0.405 0.571
P: 0.118 0.235 0.750
P: 0.617 0.234 0.056
Ni: 0.441 0.883 0.142
Ni: 0.000 0.000 0.500
Ni: 0.000 0.000 0.000
Ni: 0.559 0.117 0.642
P: 0.383 0.766 0.944
P: 0.383 0.766 0.556
Zr: 0.868 0.736 0.750

***

Record 7
A plane-wave DFT calculation with PBE-GGA was carried out for BaSr2Y after structural relaxation.

Space group: No. 10
Offset from the most stable computed form in meV/atom: 30.0
Energy of formation in eV per atom: 0.178

Cell: 6.432 3.916 7.625 Å, 79.94 90.00 90.00°
Fractional positions:
Sr: 0.000 0.503 0.486
Sr: 0.000 0.997 0.014
Ba: 0.500 0.750 0.750
Y: 0.500 0.250 0.250

***

Record 8
A plane-wave DFT calculation with PBE-GGA was carried out for Mg12InCu6 after structural relaxation.

Space group: No. 204
Energy of formation in eV per atom: -0.011

Cell: 7.771 7.771 7.771 Å, 109.47 109.47 109.47°
Fractional positions:
Cu: 0.868 0.368 0.500
Mg: 0.287 0.471 0.185
Mg: 0.713 0.529 0.815
Cu: 0.632 0.500 0.132
Cu: 0.132 0.632 0.500
Mg: 0.815 0.713 0.529
Mg: 0.287 0.102 0.815
Mg: 0.898 0.185 0.713
Cu: 0.500 0.132 0.632
Mg: 0.529 0.815 0.713
Mg: 0.815 0.287 0.102
Mg: 0.471 0.185 0.287
Mg: 0.185 0.287 0.471
Cu: 0.368 0.500 0.868
In: 0.000 0.000 0.000
Mg: 0.102 0.815 0.287
Mg: 0.713 0.898 0.185
Cu: 0.500 0.868 0.368
Mg: 0.185 0.713 0.898

***

Record 9
A plane-wave DFT calculation with PBE-GGA was carried out for La12TmTl4O3 after structural relaxation.

Space group: No. 229
Energy relative to the elements, uncorrected in eV per atom: -0.8345

Cell: 9.140 9.140 9.140 Å, 109.47 109.47 109.47°
Fractional positions:
La: 0.725 0.725 0.000
Tl: 0.000 0.000 0.500
Tl: 0.000 0.500 0.000
O: 0.500 0.500 0.000
La: 0.500 0.250 0.750
La: 0.750 0.500 0.250
La: 0.250 0.750 0.500
La: 0.275 0.275 0.000
La: 0.000 0.275 0.275
La: 0.500 0.750 0.250
La: 0.000 0.725 0.725
O: 0.000 0.500 0.500
Tl: 0.500 0.000 0.000
La: 0.725 0.000 0.725
La: 0.275 0.000 0.275
La: 0.250 0.500 0.750
O: 0.500 0.000 0.500
Tl: 0.500 0.500 0.500
Tm: 0.000 0.000 0.000
La: 0.750 0.250 0.500

***

Record 10
A plane-wave DFT calculation with PBE-GGA was carried out for LuTaAl2 after structural relaxation.

Space group: No. 123
Offset from the most stable computed form in meV/atom: 0.0
Energy of formation in eV per atom: -0.171

Cell: 3.494 3.494 6.302 Å, 90.00 90.00 90.00°
Fractional positions:
Al: 0.000 0.000 0.208
Lu: 0.500 0.500 0.500
Al: 0.000 0.000 0.792
Ta: 0.500 0.500 0.000

***

Record 11
A plane-wave DFT calculation with PBE-GGA was carried out for TeO2F2 after structural relaxation.

Space group: No. 123
Energy relative to the elements, uncorrected in eV per atom: 0.3687
Offset from the most stable computed form in meV/atom: 1090.7

Cell: 4.059 4.059 3.603 Å, 90.00 90.00 90.00°
Fractional positions:
O: 0.000 0.000 0.500
O: 0.000 0.000 0.000
Te: 0.500 0.500 0.500
F: 0.500 0.000 0.000
F: 0.000 0.500 0.000

***

Record 12
A plane-wave DFT calculation with PBE-GGA was carried out for Mg5In12Ga2 after structural relaxation.

Space group: No. 12
Offset from the most stable computed form in meV/atom: 14.4
Energy of formation in eV per atom: -0.003

Cell: 7.207 9.317 8.460 Å, 123.41 89.91 90.00°
Fractional positions:
In: 0.199 0.429 0.387
Mg: 0.484 0.759 0.517
In: 0.801 0.571 0.613
Mg: 0.910 0.655 0.311
Ga: 0.000 0.261 0.000
In: 0.391 0.160 0.791
In: 0.609 0.369 0.209
In: 0.801 0.041 0.613
Mg: 0.500 0.000 0.000
In: 0.391 0.631 0.791
In: 0.909 0.124 0.249
In: 0.609 0.840 0.209
In: 0.288 0.554 0.107
Ga: 0.000 0.739 0.000
In: 0.091 0.876 0.751
In: 0.199 0.959 0.387
Mg: 0.516 0.241 0.483
In: 0.712 0.446 0.893
Mg: 0.090 0.345 0.689